Entry from the Alexandria database: a crystal of Y2CdTc relaxed with PBEsol (meta-GGA SCAN).

Calculated values
SG ... R-3m, No. 166
ΔE_f ... 17 kJ/mol of formula units

Lattice parameters (Å, degrees): 3.4222 3.4222 9.3839 79.49 79.49 60.00
Last column: nearest neighbours and their distance in Å.
Sites, in units of the cell vectors:
Cd 0.5000 0.5000 0.5000  6 Y 3.27, 6 Cd 3.42
Tc 0.0000 0.0000 0.0000  6 Y 2.80
Y 0.2611 0.2611 0.2166  3 Tc 2.80
Y 0.7389 0.7389 0.7834  3 Tc 2.80

Entry from the Alexandria database: a crystal of HfPbO3 relaxed with PBEsol (meta-GGA SCAN).

Calculated values
SG ... Pm-3m, No. 221
Raw formation energy ... -13.684 eV per formula unit

Lattice parameters (Å, degrees): 4.1066 4.1066 4.1066 90.00 90.00 90.00
Last column: nearest neighbours and their distance in Å.
Sites, in units of the cell vectors:
Pb 0.5000 0.5000 0.5000  12 O 2.90
Hf 0.0000 0.0000 0.0000  6 O 2.05
O 0.0000 0.5000 0.0000  2 Hf 2.05
O 0.0000 0.0000 0.5000  2 Hf 2.05
O 0.5000 0.0000 0.0000  2 Hf 2.05

Entry from the Alexandria database: a crystal of NbCo3F relaxed with PBEsol (meta-GGA SCAN).

Calculated values
SG ... Pm-3m, No. 221
Raw formation energy ... 1.290 eV per formula unit

Lattice parameters (Å, degrees): 3.8935 3.8935 3.8935 90.00 90.00 90.00
Last column: nearest neighbours and their distance in Å.
Sites, in units of the cell vectors:
Nb 0.5000 0.5000 0.5000  12 Co 2.75
Co 0.0000 0.5000 0.0000  2 F 1.95
Co 0.0000 0.0000 0.5000  2 F 1.95
Co 0.5000 0.0000 0.0000  2 F 1.95
F 0.0000 0.0000 0.0000  6 Co 1.95

Entry from the Alexandria database: a crystal of Ga3Sn relaxed with PBEsol (meta-GGA SCAN).

Calculated values
SG ... Pm-3m, No. 221
ΔE_f ... 77 kJ/mol of formula units

Lattice parameters (Å, degrees): 4.3177 4.3177 4.3177 90.00 90.00 90.00
Last column: nearest neighbours and their distance in Å.
Sites, in units of the cell vectors:
Sn 0.0000 0.0000 0.0000  12 Ga 3.05
Ga 0.0000 0.5000 0.5000  8 Ga 3.05, 4 Sn 3.05
Ga 0.5000 0.0000 0.5000  4 Sn 3.05, 8 Ga 3.05
Ga 0.5000 0.5000 0.0000  4 Sn 3.05, 8 Ga 3.05

Entry from the Alexandria database: a crystal of Ba2ReHg relaxed with PBEsol (meta-GGA SCAN).

Calculated values
SG ... F-43m, No. 216
ΔE_f ... 327 kJ/mol of formula units

Lattice parameters (Å, degrees): 5.3119 5.3119 5.3119 60.00 60.00 60.00
Last column: nearest neighbours and their distance in Å.
Sites, in units of the cell vectors:
Re 0.2500 0.2500 0.2500  4 Hg 3.25, 4 Ba 3.25
Hg 0.5000 0.5000 0.5000  4 Re 3.25, 4 Ba 3.25
Ba 0.0000 0.0000 0.0000  4 Re 3.25, 4 Ba 3.25
Ba 0.7500 0.7500 0.7500  4 Hg 3.25, 4 Ba 3.25

Entry from the Alexandria database: a crystal of BaZn2Ni relaxed with PBEsol (meta-GGA SCAN).

Calculated values
SG ... R-3m, No. 166
ΔE_f ... -73 kJ/mol of formula units

Lattice parameters (Å, degrees): 4.2094 4.2094 6.1890 70.12 70.12 60.00
Last column: nearest neighbours and their distance in Å.
Sites, in units of the cell vectors:
Ni 0.0000 0.0000 0.0000  6 Zn 2.47
Zn 0.3085 0.3085 0.0744  3 Ni 2.47, 3 Zn 2.57
Zn 0.6915 0.6915 0.9256  3 Ni 2.47, 3 Zn 2.57
Ba 0.5000 0.5000 0.5000  8 Zn 3.27-3.43

Entry from the Alexandria database: a crystal of RbH3Au relaxed with PBEsol (meta-GGA SCAN).

Calculated values
SG ... Pm-3m, No. 221
E ... -100.74 eV/f.u.

Lattice parameters (Å, degrees): 3.9214 3.9214 3.9214 90.00 90.00 90.00
Last column: nearest neighbours and their distance in Å.
Sites, in units of the cell vectors:
H 0.0000 0.5000 0.0000  2 Au 1.96
H 0.0000 0.0000 0.5000  2 Au 1.96
H 0.5000 0.0000 0.0000  2 Au 1.96
Au 0.0000 0.0000 0.0000  6 H 1.96
Rb 0.5000 0.5000 0.5000  12 H 2.77

Entry from the Alexandria database: a crystal of TaTl3Tc relaxed with PBEsol (meta-GGA SCAN).

Calculated values
SG ... Pm-3m, No. 221
ΔE_f ... 716 kJ/mol of formula units

Lattice parameters (Å, degrees): 5.1462 5.1462 5.1462 90.00 90.00 90.00
Last column: nearest neighbours and their distance in Å.
Sites, in units of the cell vectors:
Tl 0.0000 0.5000 0.0000  2 Tc 2.57
Tl 0.0000 0.0000 0.5000  2 Tc 2.57
Tl 0.5000 0.0000 0.0000  2 Tc 2.57
Tc 0.0000 0.0000 0.0000  6 Tl 2.57
Ta 0.5000 0.5000 0.5000  12 Tl 3.64

Entry from the Alexandria database: a crystal of CrCo3Se relaxed with PBEsol (meta-GGA SCAN).

Calculated values
SG ... Pm-3m, No. 221
Raw formation energy ... 6.764 eV per formula unit

Lattice parameters (Å, degrees): 4.1375 4.1375 4.1375 90.00 90.00 90.00
Last column: nearest neighbours and their distance in Å.
Sites, in units of the cell vectors:
Cr 0.0000 0.0000 0.0000  6 Co 2.07
Co 0.0000 0.5000 0.0000  2 Cr 2.07
Co 0.0000 0.0000 0.5000  2 Cr 2.07
Co 0.5000 0.0000 0.0000  2 Cr 2.07
Se 0.5000 0.5000 0.5000  12 Co 2.93

Entry from the Alexandria database: a crystal of Tl2CuNi relaxed with PBEsol (meta-GGA SCAN).

Calculated values
SG ... Cmmm, No. 65
ΔE_f ... 168 kJ/mol of formula units

Lattice parameters (Å, degrees): 3.2422 3.2422 6.4476 90.00 90.00 90.27
Last column: nearest neighbours and their distance in Å.
Sites, in units of the cell vectors:
Cu 0.5000 0.5000 0.5000  8 Tl 2.83-2.84
Ni 0.5000 0.5000 0.0000  8 Tl 2.77-2.78
Tl 0.0000 0.0000 0.2424  4 Ni 2.77-2.78, 4 Cu 2.83-2.84
Tl 0.0000 0.0000 0.7576  4 Ni 2.77-2.78, 4 Cu 2.83-2.84

Entry from the Alexandria database: a crystal of SrCdRu2 relaxed with PBEsol (meta-GGA SCAN).

Calculated values
SG ... P2/m, No. 10
ΔE_f ... 279 kJ/mol of formula units

Lattice parameters (Å, degrees): 2.9572 4.9733 5.2020 110.07 90.00 90.00
Last column: nearest neighbours and their distance in Å.
Sites, in units of the cell vectors:
Cd 0.0000 0.5000 0.5000  6 Ru 2.89-2.92, 2 Cd 2.96, 4 Sr 2.99
Ru 0.0000 0.0000 0.0000  4 Sr 2.89, 2 Cd 2.92, 6 Ru 2.96-2.99
Ru 0.5000 0.0000 0.5000  4 Cd 2.89, 2 Sr 2.92, 6 Ru 2.96-2.99
Sr 0.5000 0.5000 0.0000  6 Ru 2.89-2.92, 2 Sr 2.96, 4 Cd 2.99

Entry from the Alexandria database: a crystal of LaB4Ir4 relaxed with PBEsol (meta-GGA SCAN).

Calculated values
SG ... P4_2/n, No. 86
ΔE_f ... -575 kJ/mol of formula units

Lattice parameters (Å, degrees): 3.9667 7.6597 7.6597 90.00 90.00 90.00
Last column: nearest neighbours and their distance in Å.
Sites, in units of the cell vectors:
La 0.0000 0.5000 0.5000  8 B 2.92-3.14, 8 Ir 3.17-3.25
La 0.5000 0.0000 0.0000  8 B 2.92-3.14, 8 Ir 3.17-3.25
B 0.6069 0.6585 0.7804  1 B 1.86
B 0.8931 0.1585 0.2804  1 B 1.86
B 0.1069 0.2804 0.8415  1 B 1.86
B 0.1069 0.7196 0.1585  1 B 1.86
B 0.6069 0.3415 0.2196  1 B 1.86
B 0.8931 0.8415 0.7196  1 B 1.86
B 0.3931 0.2196 0.6585  1 B 1.86
B 0.3931 0.7804 0.3415  1 B 1.86
Ir 0.1075 0.3431 0.1104  4 B 2.10-2.15
Ir 0.1075 0.6569 0.8896  4 B 2.10-2.15
Ir 0.6075 0.6104 0.1569  4 B 2.10-2.15
Ir 0.8925 0.1104 0.6569  4 B 2.10-2.15
Ir 0.3925 0.1569 0.3896  4 B 2.10-2.15
Ir 0.3925 0.8431 0.6104  4 B 2.10-2.15
Ir 0.8925 0.8896 0.3431  4 B 2.10-2.15
Ir 0.6075 0.3896 0.8431  4 B 2.10-2.15

Question: Number 6 is which compound?
Answer: BaZn2Ni

Question: Which formula does entry 2 have?
Answer: HfPbO3